(1)
# PuNpSbAu

A geometry-optimized PuNpSbAu structure (PBE, Alexandria).

Cell lengths 5.267, 5.267, 5.267 Å; angles 60.00, 60.00, 60.00 degrees
Last column: magnetic moment on the atom in μB.
Element x y z (fractional)
Np (0.750, 0.750, 0.750)  -3.98
Sb (0.000, 0.000, 0.000)  0.01
Au (0.500, 0.500, 0.500)  0.00
Pu (0.250, 0.250, 0.250)  5.36

Properties
Energy relative to the elements, uncorrected ... -0.6 eV/f.u.
M_tot ... 1.38 μB/f.u.

=====

(2)
# RbNpAu2

A geometry-optimized RbNpAu2 structure (PBE, Alexandria).

Cell lengths 3.766, 3.766, 8.321 Å; angles 90.00, 90.00, 90.00 degrees
Last column: magnetic moment on the atom in μB.
Element x y z (fractional)
Np (0.500, 0.500, 0.000)  4.06
Au (0.000, 0.000, 0.814)  0.03
Au (0.000, 0.000, 0.186)  0.03
Rb (0.500, 0.500, 0.500)  0.01

Properties
M_tot ... 4.57 μB/f.u.
Energy of formation from the pure elements ... -0.06 eV per atom

=====

(3)
# RbNpAu2S4

A geometry-optimized RbNpAu2S4 structure (PBE, Alexandria).

Cell lengths 5.918, 7.015, 7.015 Å; angles 75.40, 65.05, 65.05 degrees
Last column: magnetic moment on the atom in μB.
Element x y z (fractional)
Rb (0.000, 0.000, 0.000)  0.00
Np (0.500, 0.500, 0.500)  2.77
Au (0.159, 0.341, 0.341)  -0.07
Au (0.841, 0.659, 0.659)  -0.07
S (0.474, 0.146, 0.503)  -0.12
S (0.122, 0.854, 0.497)  -0.12
S (0.878, 0.503, 0.146)  -0.12
S (0.526, 0.497, 0.854)  -0.12

Properties
Energy relative to the elements, uncorrected ... -4.7 eV/f.u.
M_tot ... 2.00 μB/f.u.

=====

(4)
# Rb2NpAuS4

A geometry-optimized Rb2NpAuS4 structure (PBE, Alexandria).

Cell lengths 6.342, 7.833, 12.546 Å; angles 84.13, 75.36, 66.12 degrees
Last column: magnetic moment on the atom in μB.
Element x y z (fractional)
Rb (0.182, 0.000, 0.637)  0.00
Rb (0.818, 0.000, 0.363)  0.00
Rb (0.568, 0.500, 0.863)  0.00
Rb (0.932, 0.500, 0.137)  0.00
Np (0.750, 0.500, 0.500)  2.66
Np (0.000, 0.000, 0.000)  2.66
Au (0.250, 0.500, 0.500)  -0.12
Au (0.500, 0.000, 0.000)  -0.12
S (0.300, 0.790, 0.102)  -0.12
S (0.192, 0.210, 0.898)  -0.12
S (0.910, 0.790, 0.898)  -0.12
S (0.598, 0.210, 0.102)  -0.12
S (0.450, 0.710, 0.398)  -0.12
S (0.558, 0.290, 0.602)  -0.12
S (0.840, 0.710, 0.602)  -0.12
S (0.152, 0.290, 0.398)  -0.12

Properties
Energy relative to the elements, uncorrected ... -6.4 eV/f.u.
M_tot ... 2.00 μB/f.u.

=====

(5)
# Rb2Np3AuS8

A geometry-optimized Rb2Np3AuS8 structure (PBE, Alexandria).

Cell lengths 8.004, 8.004, 9.365 Å; angles 64.70, 64.70, 60.00 degrees
Last column: magnetic moment on the atom in μB.
Element x y z (fractional)
Rb (0.134, 0.134, 0.598)  0.00
Rb (0.493, 0.493, 0.520)  0.00
Np (0.493, 0.996, 0.017)  3.08
Np (0.996, 0.493, 0.017)  3.08
Np (0.493, 0.493, 0.017)  3.08
Au (0.938, 0.938, 0.187)  -0.08
S (0.269, 0.269, 0.193)  -0.11
S (0.717, 0.717, 0.850)  -0.12
S (0.236, 0.236, 0.842)  -0.14
S (0.685, 0.236, 0.842)  -0.14
S (0.236, 0.685, 0.842)  -0.14
S (0.757, 0.288, 0.198)  -0.12
S (0.288, 0.757, 0.198)  -0.12
S (0.757, 0.757, 0.198)  -0.12

Properties
Energy relative to the elements, uncorrected ... -15.5 eV/f.u.
M_tot ... 8.00 μB/f.u.

=====

(6)
# Rb2NpAu2S4

A geometry-optimized Rb2NpAu2S4 structure (PBE, Alexandria).

Cell lengths 4.118, 7.964, 7.834 Å; angles 108.87, 105.24, 90.00 degrees
Last column: magnetic moment on the atom in μB.
Element x y z (fractional)
Rb (0.134, 0.574, 0.268)  0.00
Rb (0.866, 0.426, 0.732)  0.00
Np (0.000, 0.000, 0.000)  3.35
Au (0.675, 0.005, 0.351)  -0.04
Au (0.325, 0.995, 0.649)  -0.04
S (0.188, 0.193, 0.376)  -0.07
S (0.812, 0.807, 0.624)  -0.07
S (0.513, 0.776, 0.026)  -0.07
S (0.487, 0.224, 0.974)  -0.07

Properties
Energy relative to the elements, uncorrected ... -7.7 eV/f.u.
M_tot ... 3.00 μB/f.u.

=====

(7)
# Rb4Np3AuS8

A geometry-optimized Rb4Np3AuS8 structure (PBE, Alexandria).

Cell lengths 8.064, 8.995, 8.230 Å; angles 117.26, 119.33, 90.00 degrees
Last column: magnetic moment on the atom in μB.
Element x y z (fractional)
Rb (0.500, 0.000, 0.000)  0.00
Rb (0.500, 0.000, 0.500)  0.00
Rb (0.000, 0.000, 0.000)  0.00
Rb (0.000, 0.000, 0.500)  0.00
Np (0.500, 0.500, 0.000)  3.58
Np (0.500, 0.500, 0.500)  3.54
Np (0.000, 0.500, 0.500)  3.54
Au (0.000, 0.500, 0.000)  -0.09
S (0.229, 0.686, 0.950)  -0.10
S (0.248, 0.698, 0.495)  -0.10
S (0.271, 0.309, 0.543)  -0.09
S (0.721, 0.686, 0.950)  -0.10
S (0.279, 0.314, 0.050)  -0.10
S (0.729, 0.691, 0.457)  -0.09
S (0.752, 0.302, 0.505)  -0.10
S (0.771, 0.314, 0.050)  -0.10

Properties
Energy relative to the elements, uncorrected ... -18.3 eV/f.u.
M_tot ... 10.00 μB/f.u.

=====

(8)
# Rb3Np2AuS6

A geometry-optimized Rb3Np2AuS6 structure (PBE, Alexandria).

Cell lengths 7.350, 7.350, 7.805 Å; angles 96.55, 96.55, 124.74 degrees
Last column: magnetic moment on the atom in μB.
Element x y z (fractional)
Rb (0.147, 0.853, 0.500)  0.00
Rb (0.853, 0.147, 0.500)  0.00
Rb (0.500, 0.500, 0.500)  0.00
Np (0.333, 0.667, 0.000)  3.33
Np (0.667, 0.333, 0.000)  3.33
Au (0.000, 0.000, 0.000)  -0.04
S (0.942, 0.546, 0.791)  -0.11
S (0.737, 0.737, 0.161)  -0.07
S (0.058, 0.454, 0.209)  -0.11
S (0.546, 0.942, 0.791)  -0.11
S (0.263, 0.263, 0.839)  -0.07
S (0.454, 0.058, 0.209)  -0.11

Properties
Energy relative to the elements, uncorrected ... -13.2 eV/f.u.
M_tot ... 6.00 μB/f.u.

=====

(9)
# RbNpAuS2

A geometry-optimized RbNpAuS2 structure (PBE, Alexandria).

Cell lengths 5.316, 7.682, 7.570 Å; angles 102.80, 90.00, 90.00 degrees
Last column: magnetic moment on the atom in μB.
Element x y z (fractional)
Rb (0.177, 0.500, 0.750)  0.01
Rb (0.823, 0.500, 0.250)  0.01
Np (0.491, 0.000, 0.250)  4.16
Np (0.509, 0.000, 0.750)  4.16
Au (0.000, 0.000, 0.000)  0.11
Au (0.000, 0.000, 0.500)  0.11
S (0.686, 0.768, 0.952)  -0.03
S (0.686, 0.232, 0.548)  -0.03
S (0.314, 0.768, 0.452)  -0.03
S (0.314, 0.232, 0.048)  -0.03

Properties
Energy relative to the elements, uncorrected ... -4.0 eV/f.u.
M_tot ... 4.79 μB/f.u.

=====

(10)
# Rb2Np2AuSe6

A geometry-optimized Rb2Np2AuSe6 structure (PBE, Alexandria).

Cell lengths 7.513, 7.513, 8.452 Å; angles 96.21, 96.21, 126.22 degrees
Last column: magnetic moment on the atom in μB.
Element x y z (fractional)
Rb (0.853, 0.147, 0.000)  -0.01
Rb (0.147, 0.853, 0.000)  -0.01
Np (0.338, 0.662, 0.500)  3.15
Np (0.662, 0.338, 0.500)  3.15
Au (0.000, 0.000, 0.500)  -0.10
Se (0.739, 0.739, 0.670)  -0.11
Se (0.048, 0.439, 0.699)  -0.17
Se (0.261, 0.261, 0.330)  -0.11
Se (0.439, 0.048, 0.699)  -0.17
Se (0.952, 0.561, 0.301)  -0.17
Se (0.561, 0.952, 0.301)  -0.17

Properties
Energy relative to the elements, uncorrected ... -10.3 eV/f.u.
M_tot ... 4.98 μB/f.u.

=====

(11)
# RbNpAu2Se4

A geometry-optimized RbNpAu2Se4 structure (PBE, Alexandria).

Cell lengths 5.856, 7.345, 7.345 Å; angles 79.01, 66.51, 66.51 degrees
Last column: magnetic moment on the atom in μB.
Element x y z (fractional)
Rb (0.000, 0.000, 0.000)  0.00
Np (0.500, 0.500, 0.500)  2.95
Au (0.155, 0.345, 0.345)  -0.06
Au (0.845, 0.655, 0.655)  -0.06
Se (0.486, 0.137, 0.500)  -0.15
Se (0.124, 0.863, 0.500)  -0.15
Se (0.876, 0.500, 0.137)  -0.15
Se (0.514, 0.500, 0.863)  -0.15

Properties
Energy relative to the elements, uncorrected ... -4.2 eV/f.u.
M_tot ... 1.96 μB/f.u.

=====

(12)
# Rb4Np3AuSe8

A geometry-optimized Rb4Np3AuSe8 structure (PBE, Alexandria).

Cell lengths 8.409, 9.368, 8.583 Å; angles 117.42, 119.33, 90.00 degrees
Last column: magnetic moment on the atom in μB.
Element x y z (fractional)
Rb (0.500, 0.000, 0.000)  -0.01
Rb (0.500, 0.000, 0.500)  0.00
Rb (0.000, 0.000, 0.000)  0.00
Rb (0.000, 0.000, 0.500)  0.00
Np (0.500, 0.500, 0.000)  3.67
Np (0.500, 0.500, 0.500)  3.63
Np (0.000, 0.500, 0.500)  3.63
Au (0.000, 0.500, 0.000)  -0.10
Se (0.227, 0.689, 0.955)  -0.11
Se (0.246, 0.700, 0.492)  -0.12
Se (0.270, 0.304, 0.539)  -0.09
Se (0.727, 0.689, 0.955)  -0.11
Se (0.273, 0.311, 0.045)  -0.11
Se (0.730, 0.696, 0.461)  -0.09
Se (0.754, 0.300, 0.508)  -0.12
Se (0.773, 0.311, 0.045)  -0.11

Properties
Energy relative to the elements, uncorrected ... -16.7 eV/f.u.
M_tot ... 9.98 μB/f.u.

=====

(13)
# Rb2NpTe6Au2

A geometry-optimized Rb2NpTe6Au2 structure (PBE, Alexandria).

Cell lengths 6.566, 8.412, 10.077 Å; angles 118.26, 90.00, 112.97 degrees
Last column: magnetic moment on the atom in μB.
Element x y z (fractional)
Rb (0.694, 0.387, 0.201)  0.00
Rb (0.306, 0.613, 0.799)  0.00
Np (0.500, 0.000, 0.500)  3.36
Te (0.711, 0.421, 0.593)  -0.15
Te (0.186, 0.870, 0.206)  -0.12
Te (0.315, 0.130, 0.794)  -0.12
Te (0.814, 0.130, 0.794)  -0.12
Te (0.685, 0.870, 0.206)  -0.12
Te (0.289, 0.579, 0.407)  -0.15
Au (0.904, 0.807, 0.698)  -0.06
Au (0.096, 0.193, 0.302)  -0.06

Properties
Energy relative to the elements, uncorrected ... -4.4 eV/f.u.
M_tot ... 1.92 μB/f.u.

=====

(14)
# RbNp4Te12Au3

A geometry-optimized RbNp4Te12Au3 structure (PBE, Alexandria).

Cell lengths 9.684, 9.684, 9.684 Å; angles 109.47, 109.47, 109.47 degrees
Last column: magnetic moment on the atom in μB.
Element x y z (fractional)
Rb (0.000, 0.000, 0.000)  0.00
Np (0.500, 0.000, 0.000)  3.66
Np (0.500, 0.500, 0.500)  3.66
Np (0.000, 0.500, 0.000)  3.66
Np (0.000, 0.000, 0.500)  3.66
Te (0.320, 0.834, 0.153)  -0.09
Te (0.680, 0.166, 0.847)  -0.09
Te (0.680, 0.834, 0.514)  -0.09
Te (0.847, 0.680, 0.166)  -0.09
Te (0.834, 0.153, 0.320)  -0.09
Te (0.166, 0.486, 0.320)  -0.09
Te (0.486, 0.320, 0.166)  -0.09
Te (0.166, 0.847, 0.680)  -0.09
Te (0.320, 0.166, 0.486)  -0.09
Te (0.153, 0.320, 0.834)  -0.09
Te (0.834, 0.514, 0.680)  -0.09
Te (0.514, 0.680, 0.834)  -0.09
Au (0.000, 0.500, 0.500)  0.07
Au (0.500, 0.500, 0.000)  0.07
Au (0.500, 0.000, 0.500)  0.07

Properties
Energy relative to the elements, uncorrected ... -6.6 eV/f.u.
M_tot ... 13.95 μB/f.u.

=====

(15)
# Rb2NpTe4Au2

A geometry-optimized Rb2NpTe4Au2 structure (PBE, Alexandria).

Cell lengths 4.630, 8.217, 9.946 Å; angles 117.12, 103.46, 90.00 degrees
Last column: magnetic moment on the atom in μB.
Element x y z (fractional)
Rb (0.144, 0.675, 0.287)  0.00
Rb (0.856, 0.325, 0.713)  0.00
Np (0.000, 0.000, 0.000)  3.60
Te (0.187, 0.225, 0.373)  -0.07
Te (0.813, 0.775, 0.627)  -0.07
Te (0.487, 0.732, 0.975)  -0.11
Te (0.513, 0.268, 0.025)  -0.11
Au (0.630, 0.040, 0.261)  -0.04
Au (0.370, 0.960, 0.739)  -0.04

Properties
Energy relative to the elements, uncorrected ... -6.0 eV/f.u.
M_tot ... 3.00 μB/f.u.

=====

(16)
# RbNpTe2Au

A geometry-optimized RbNpTe2Au structure (PBE, Alexandria).

Cell lengths 6.227, 6.287, 9.207 Å; angles 109.96, 90.00, 90.00 degrees
Last column: magnetic moment on the atom in μB.
Element x y z (fractional)
Rb (0.239, 0.750, 0.500)  0.00
Rb (0.761, 0.250, 0.500)  0.00
Np (0.500, 0.750, 0.000)  4.45
Np (0.500, 0.250, 0.000)  4.45
Te (0.749, 0.874, 0.747)  -0.03
Te (0.749, 0.626, 0.253)  -0.03
Te (0.251, 0.374, 0.747)  -0.03
Te (0.251, 0.126, 0.253)  -0.03
Au (0.000, 0.000, 0.000)  0.04
Au (0.000, 0.500, 0.000)  0.04

Properties
Energy relative to the elements, uncorrected ... -2.7 eV/f.u.
M_tot ... 5.00 μB/f.u.

=====

(17)
# Np2RhAu

A geometry-optimized Np2RhAu structure (PBE, Alexandria).

Cell lengths 4.492, 4.215, 4.215 Å; angles 90.00, 90.00, 90.00 degrees
Last column: magnetic moment on the atom in μB.
Element x y z (fractional)
Np (0.000, 0.000, 0.500)  3.86
Np (0.000, 0.500, 0.000)  3.86
Rh (0.500, 0.500, 0.500)  -0.13
Au (0.500, 0.000, 0.000)  0.05

Properties
M_tot ... 7.99 μB/f.u.
Energy of formation from the pure elements ... 0.00 eV per atom

=====

(18)
# NpRhAu

A geometry-optimized NpRhAu structure (PBE, Alexandria).

Cell lengths 2.959, 4.749, 4.749 Å; angles 120.00, 90.00, 90.00 degrees
Last column: magnetic moment on the atom in μB.
Element x y z (fractional)
Np (0.667, 0.333, 0.667)  3.82
Rh (0.167, 0.000, 0.000)  -0.39
Au (0.167, 0.667, 0.333)  -0.02

Properties
Energy above the most stable polymorph in this dataset ... 0.000 eV/atom
M_tot ... 3.65 μB/f.u.
Energy of formation from the pure elements ... -0.13 eV per atom

=====

(19)
# NpRhAu

A geometry-optimized NpRhAu structure (PBE, Alexandria).

Cell lengths 3.375, 3.375, 5.703 Å; angles 107.21, 107.21, 90.00 degrees
Last column: magnetic moment on the atom in μB.
Element x y z (fractional)
Np (0.315, 0.315, 0.631)  3.39
Au (0.010, 0.010, 0.021)  -0.01
Rh (0.674, 0.674, 0.348)  -0.38

Properties
Energy above the most stable polymorph in this dataset ... 0.006 eV/atom
M_tot ... 3.18 μB/f.u.
Energy of formation from the pure elements ... -0.13 eV per atom

=====

(20)
# NpRh2Au

A geometry-optimized NpRh2Au structure (PBE, Alexandria).

Cell lengths 3.799, 4.288, 4.288 Å; angles 90.00, 90.00, 90.00 degrees
Last column: magnetic moment on the atom in μB.
Element x y z (fractional)
Np (0.500, 0.500, 0.500)  3.14
Rh (0.000, 0.000, 0.500)  -0.33
Rh (0.000, 0.500, 0.000)  -0.33
Au (0.500, 0.000, 0.000)  0.00

Properties
M_tot ... 2.58 μB/f.u.
Energy of formation from the pure elements ... -0.37 eV per atom

=====

(21)
# Np2RhAu

A geometry-optimized Np2RhAu structure (PBE, Alexandria).

Cell lengths 3.816, 3.816, 5.816 Å; angles 90.00, 90.00, 90.00 degrees
Last column: magnetic moment on the atom in μB.
Element x y z (fractional)
Np (0.000, 0.000, 0.766)  4.14
Np (0.000, 0.000, 0.234)  4.14
Rh (0.500, 0.500, 0.000)  -0.17
Au (0.500, 0.500, 0.500)  0.08

Properties
M_tot ... 8.74 μB/f.u.
Energy of formation from the pure elements ... -0.08 eV per atom

=====

(22)
# NpRhAu

A geometry-optimized NpRhAu structure (PBE, Alexandria).

Cell lengths 3.126, 10.260, 7.194 Å; angles 90.00, 90.00, 90.00 degrees
Last column: magnetic moment on the atom in μB.
Element x y z (fractional)
Au (0.250, 0.815, 0.300)  0.01
Au (0.750, 0.685, 0.800)  0.01
Au (0.250, 0.315, 0.200)  0.01
Au (0.750, 0.185, 0.700)  0.01
Np (0.750, 0.549, 0.383)  1.03
Np (0.250, 0.951, 0.883)  1.03
Np (0.750, 0.049, 0.117)  1.03
Np (0.250, 0.451, 0.617)  1.03
Rh (0.750, 0.911, 0.603)  -0.08
Rh (0.250, 0.589, 0.103)  -0.08
Rh (0.750, 0.411, 0.897)  -0.08
Rh (0.250, 0.089, 0.397)  -0.08

Properties
Energy above the most stable polymorph in this dataset ... 0.047 eV/atom
M_tot ... 0.94 μB/f.u.
Energy of formation from the pure elements ... -0.09 eV per atom

=====

(23)
# NpSnRhAu

A geometry-optimized NpSnRhAu structure (PBE, Alexandria).

Cell lengths 4.871, 4.871, 4.871 Å; angles 60.00, 60.00, 60.00 degrees
Last column: magnetic moment on the atom in μB.
Element x y z (fractional)
Np (0.750, 0.750, 0.750)  3.66
Rh (0.500, 0.500, 0.500)  -0.27
Au (0.000, 0.000, 0.000)  -0.01
Sn (0.250, 0.250, 0.250)  0.01

Properties
M_tot ... 3.60 μB/f.u.
Energy of formation from the pure elements ... -0.20 eV per atom